No. 1
Entry from the Alexandria database: crystalline Tb2Pm6Ho3Mg at its relaxed geometry (PBE-GGA).

abc: 6.2022 10.7498 11.7603
angles: 90.00 100.15 90.00
Space group C2/m (No. 12)
Unique sites:
Tb1 0.0000 0.1667 0.0000 x4
Pm1 0.2489 0.3339 0.2496 x8
Pm2 0.2495 0.5000 0.7493 x4
Ho1 0.0000 0.0000 0.5000 x2
Ho2 0.0000 0.3337 0.5000 x4
Mg1 0.0000 0.5000 0.0000 x2

Summary:
DFT formation energy: 22 kJ/mol of formula units
E: -105.74 eV for the cell shown
Density of states at the Fermi level: 1.08 states/eV/atom

No. 2
Entry from the Alexandria database: crystalline TaH3Au at its relaxed geometry (PBE-GGA).

abc: 3.6439 3.6439 3.6439
angles: 90.00 90.00 90.00
Space group Pm-3m (No. 221)
Unique sites:
Ta1 0.0000 0.0000 0.0000 x1
H1 0.0000 0.0000 0.5000 x3
Au1 0.5000 0.5000 0.5000 x1

Summary:
E: -23.63 eV for the cell shown
Density of states at the Fermi level: 0.50 states/eV/atom

No. 3
Entry from the Alexandria database: crystalline ScReSi2 at its relaxed geometry (PBE-GGA).

abc: 6.2162 6.2162 6.2162
angles: 90.00 90.00 90.00
Space group F-43m (No. 216)
Unique sites:
Sc1 0.0000 0.0000 0.0000 x4
Re1 0.2500 0.2500 0.7500 x4
Si1 0.0000 0.0000 0.5000 x4
Si2 0.2500 0.2500 0.2500 x4

Summary:
Uncorrected formation energy: 0.102 eV per atom
E: -116.87 eV for the cell shown
Density of states at the Fermi level: 1.13 states/eV/atom

No. 4
Entry from the Alexandria database: crystalline PuSc4Pt5 at its relaxed geometry (PBE-GGA).

abc: 3.2750 3.2750 17.3332
angles: 90.00 90.00 90.00
Space group P4/mmm (No. 123)
Unique sites:
Pu1 0.0000 0.0000 0.0000 x1
Sc1 0.0000 0.0000 0.2084 x2
Sc2 0.0000 0.0000 0.4030 x2
Pt1 0.5000 0.5000 0.1205 x2
Pt2 0.5000 0.5000 0.3081 x2
Pt3 0.5000 0.5000 0.5000 x1

Summary:
DFT formation energy: -1105 kJ/mol of formula units
E: -81.31 eV for the cell shown
Density of states at the Fermi level: 1.11 states/eV/atom

No. 5
Entry from the Alexandria database: crystalline MgCd2Ag at its relaxed geometry (PBE-GGA).

abc: 7.2406 3.0957 7.4948
angles: 90.00 97.92 90.00
Space group P2_1/m (No. 11)
Unique sites:
Mg1 0.1888 0.2500 0.0452 x2
Cd1 0.1028 0.7500 0.6912 x2
Cd2 0.3196 0.2500 0.4338 x2
Ag1 0.4804 0.2500 0.8261 x2

Summary:
DFT formation energy: -22 kJ/mol of formula units
E: -13.01 eV for the cell shown
Density of states at the Fermi level: 0.27 states/eV/atom

No. 6
Entry from the Alexandria database: crystalline AcNdTe2 at its relaxed geometry (PBE-GGA).

abc: 4.5061 4.5061 15.8305
angles: 90.00 90.00 120.00
Space group P6_3/mmc (No. 194)
Unique sites:
Ac1 0.3333 0.6667 0.2500 x2
Nd1 0.0000 0.0000 0.0000 x2
Te1 0.3333 0.6667 0.6168 x4

Summary:
Uncorrected formation energy: -1.446 eV per atom
E: -41.88 eV for the cell shown
Density of states at the Fermi level: 0.55 states/eV/atom

No. 7
Entry from the Alexandria database: crystalline Pr4Y5Th2 at its relaxed geometry (PBE-GGA).

abc: 3.5297 11.6930 18.6668
angles: 90.00 90.00 90.00
Space group Immm (No. 71)
Unique sites:
Pr1 0.0000 0.0000 0.0907 x4
Pr2 0.0000 0.2643 0.5000 x4
Y1 0.0000 0.2897 0.3201 x8
Y2 0.0000 0.5000 0.0000 x2
Th1 0.0000 0.0000 0.2959 x4

Summary:
DFT formation energy: 292 kJ/mol of formula units
E: -126.50 eV for the cell shown
Density of states at the Fermi level: 1.40 states/eV/atom

No. 8
Entry from the Alexandria database: crystalline ZrUPa at its relaxed geometry (PBE-GGA).

abc: 5.0873 5.0873 2.9873
angles: 90.00 90.00 120.00
Space group P-6m2 (No. 187)
Unique sites:
Zr1 0.0000 0.0000 0.0000 x1
U1 0.6667 0.3333 0.5000 x1
Pa1 0.3333 0.6667 0.5000 x1

Summary:
DFT formation energy: 31 kJ/mol of formula units
E: -29.01 eV for the cell shown
Density of states at the Fermi level: 2.02 states/eV/atom

No. 9
Entry from the Alexandria database: crystalline CeAl3Ni2 at its relaxed geometry (PBE-GGA).

abc: 5.2749 5.2749 4.0537
angles: 90.00 90.00 120.00
Space group P6/mmm (No. 191)
Unique sites:
Ce1 0.0000 0.0000 0.0000 x1
Al1 0.0000 0.5000 0.5000 x3
Ni1 0.3333 0.6667 0.0000 x2

Summary:
DFT formation energy: -353 kJ/mol of formula units
E: -32.38 eV for the cell shown
Density of states at the Fermi level: 0.69 states/eV/atom

No. 10
Entry from the Alexandria database: crystalline La3ScSb2 at its relaxed geometry (PBE-GGA).

abc: 4.4055 4.8445 17.3069
angles: 90.00 90.00 90.00
Space group Immm (No. 71)
Unique sites:
La1 0.0000 0.0000 0.0000 x2
La2 0.0000 0.5000 0.3240 x4
Sc1 0.0000 0.0000 0.5000 x2
Sb1 0.0000 0.5000 0.1310 x4

Summary:
Uncorrected formation energy: -0.861 eV per atom
E: -69.04 eV for the cell shown
Density of states at the Fermi level: 1.55 states/eV/atom

No. 11
Entry from the Alexandria database: crystalline Dy6Ho12Sc at its relaxed geometry (PBE-GGA).

abc: 11.7718 11.7718 15.0089
angles: 90.00 90.00 120.00
Space group R-3 (No. 148, hexagonal axes)
Unique sites:
Dy1 0.0146 0.4249 0.1823 x18
Ho1 0.0095 0.8330 0.6890 x18
Ho2 0.0448 0.8527 0.9150 x18
Sc1 0.0000 0.0000 0.5000 x3

Summary:
DFT formation energy: 290 kJ/mol of formula units
E: -257.63 eV for the cell shown
Density of states at the Fermi level: 1.72 states/eV/atom

No. 12
Entry from the Alexandria database: crystalline Zr2NiPb at its relaxed geometry (PBE-GGA).

abc: 3.2393 3.9650 6.3145
angles: 90.00 94.88 90.00
Space group P2/m (No. 10)
Unique sites:
Zr1 0.0386 0.0000 0.2783 x2
Ni1 0.5000 0.5000 0.5000 x1
Pb1 0.5000 0.5000 0.0000 x1

Summary:
DFT formation energy: -42 kJ/mol of formula units
E: -27.02 eV for the cell shown
Density of states at the Fermi level: 1.13 states/eV/atom

> What is the E in the eleventh record?

-257.63 eV for the cell shown

> Among the records above, which one has the lowest E?

Dy6Ho12Sc

> What is the E in the eleventh record?

-257.63 eV for the cell shown